[1]
# CdSb3Cl, relaxed, DFT PBE
data_CdSb3Cl
_cell_length_a 5.545
_cell_length_b 5.545
_cell_length_c 5.545
_cell_angle_alpha 90.00
_cell_angle_beta 90.00
_cell_angle_gamma 90.00
_space_group_name_H-M_alt 'P m -3 m'
_space_group_IT_number 221
_space_group_name_Hall '-P 4 2 3'
loop_
_atom_site_label
_atom_site_type_symbol
_atom_site_fract_x
_atom_site_fract_y
_atom_site_fract_z
Cd1 Cd 0.000 0.000 0.000
Sb1 Sb 0.000 0.000 0.500
Cl1 Cl 0.500 0.500 0.500
# DOS at the Fermi energy ... 4.707 states/eV per cell
# Formation energy (no corrections) ... 0.67 eV per atom

***

[2]
# CdSbCl, relaxed, DFT PBE
data_CdSbCl
_cell_length_a 5.0499
_cell_length_b 5.0499
_cell_length_c 3.3737
_cell_angle_alpha 90.00
_cell_angle_beta 90.00
_cell_angle_gamma 120.00
_space_group_name_H-M_alt 'P 3 m 1'
_space_group_IT_number 156
loop_
_space_group_symop_operation_xyz
'x,y,z'
'-y,x-y,z'
'-x+y,-x,z'
'-y,-x,z'
'-x+y,y,z'
'x,x-y,z'
loop_
_atom_site_label
_atom_site_type_symbol
_atom_site_fract_x
_atom_site_fract_y
_atom_site_fract_z
Cd1 Cd 0.0000 0.0000 0.0000
Sb1 Sb 0.6667 0.3333 0.7619
Cl1 Cl 0.3333 0.6667 0.3491
# DOS at the Fermi energy ... 2.038 states/eV per cell
# Formation energy (no corrections) ... -0.04 eV per atom

***

[3]
# CdSbCl2, relaxed, DFT PBE
data_CdSbCl2
_cell_length_a 13.895
_cell_length_b 3.723
_cell_length_c 5.282
_cell_angle_alpha 90.00
_cell_angle_beta 112.24
_cell_angle_gamma 90.00
_space_group_name_H-M_alt 'C 1 2/m 1'
_space_group_IT_number 12
loop_
_space_group_symop_operation_xyz
'x,y,z'
'-x,-y,-z'
'-x,y,-z'
'x,-y,z'
'x+1/2,y+1/2,z'
'-x+1/2,-y+1/2,-z'
'-x+1/2,y+1/2,-z'
'x+1/2,-y+1/2,z'
loop_
_atom_site_label
_atom_site_type_symbol
_atom_site_fract_x
_atom_site_fract_y
_atom_site_fract_z
Cd1 Cd 0.000 0.000 0.000
Sb1 Sb 0.000 0.500 0.500
Cl1 Cl 0.160 0.000 0.659
# DOS at the Fermi energy ... 2.454 states/eV per cell
# Formation energy (no corrections) ... -0.35 eV per atom

***

[4]
# CdSbCl2, relaxed, DFT PBE
data_CdSbCl2
_cell_length_a 6.367
_cell_length_b 8.783
_cell_length_c 4.857
_cell_angle_alpha 90.00
_cell_angle_beta 130.75
_cell_angle_gamma 90.00
_space_group_name_H-M_alt 'C 1 2/m 1'
_space_group_IT_number 12
loop_
_space_group_symop_operation_xyz
'x,y,z'
'-x,-y,-z'
'-x,y,-z'
'x,-y,z'
'x+1/2,y+1/2,z'
'-x+1/2,-y+1/2,-z'
'-x+1/2,y+1/2,-z'
'x+1/2,-y+1/2,z'
loop_
_atom_site_label
_atom_site_type_symbol
_atom_site_fract_x
_atom_site_fract_y
_atom_site_fract_z
Cd1 Cd 0.000 0.000 0.000
Sb1 Sb 0.000 0.500 0.000
Cl1 Cl 0.250 0.250 0.500
# DOS at the Fermi energy ... 3.255 states/eV per cell
# Formation energy (no corrections) ... -0.32 eV per atom

***

[5]
# Cd2SbCl, relaxed, DFT PBE
data_Cd2SbCl
_cell_length_a 5.770
_cell_length_b 5.198
_cell_length_c 8.225
_cell_angle_alpha 90.00
_cell_angle_beta 90.00
_cell_angle_gamma 90.00
_space_group_name_H-M_alt 'A m m 2'
_space_group_IT_number 38
loop_
_space_group_symop_operation_xyz
'x,y,z'
'-x,-y,z'
'-x,y,z'
'x,-y,z'
'x,y+1/2,z+1/2'
'-x,-y+1/2,z+1/2'
'-x,y+1/2,z+1/2'
'x,-y+1/2,z+1/2'
loop_
_atom_site_label
_atom_site_type_symbol
_atom_site_fract_x
_atom_site_fract_y
_atom_site_fract_z
Cd1 Cd 0.000 0.000 0.000
Cd2 Cd 0.500 0.000 0.280
Sb1 Sb 0.500 0.000 0.925
Cl1 Cl 0.000 0.000 0.343
# DOS at the Fermi energy ... 1.181 states/eV per cell
# Formation energy (no corrections) ... -0.35 eV per atom

***

[6]
# Cd4Sb2Cl3, relaxed, DFT PBE
data_Cd4Sb2Cl3
_cell_length_a 14.468
_cell_length_b 13.186
_cell_length_c 6.909
_cell_angle_alpha 90.00
_cell_angle_beta 102.22
_cell_angle_gamma 90.00
_space_group_name_H-M_alt 'C 1 2/c 1'
_space_group_IT_number 15
loop_
_space_group_symop_operation_xyz
'x,y,z'
'-x,-y,-z'
'-x,y,-z+1/2'
'x,-y,z+1/2'
'x+1/2,y+1/2,z'
'-x+1/2,-y+1/2,-z'
'-x+1/2,y+1/2,-z+1/2'
'x+1/2,-y+1/2,z+1/2'
loop_
_atom_site_label
_atom_site_type_symbol
_atom_site_fract_x
_atom_site_fract_y
_atom_site_fract_z
Cd1 Cd 0.110 0.086 0.119
Cd2 Cd 0.148 0.494 0.570
Sb1 Sb 0.212 0.343 0.867
Cl1 Cl 0.000 0.426 0.250
Cl2 Cl 0.070 0.111 0.503
# DOS at the Fermi energy ... 12.168 states/eV per cell
# Formation energy (no corrections) ... -0.44 eV per atom

***

[7]
# CdSbCl2, relaxed, DFT PBE
data_CdSbCl2
_cell_length_a 6.400
_cell_length_b 8.916
_cell_length_c 3.354
_cell_angle_alpha 90.00
_cell_angle_beta 90.00
_cell_angle_gamma 90.00
_space_group_name_H-M_alt 'C m m m'
_space_group_IT_number 65
_space_group_name_Hall '-C 2 2'
loop_
_atom_site_label
_atom_site_type_symbol
_atom_site_fract_x
_atom_site_fract_y
_atom_site_fract_z
Cd1 Cd 0.000 0.000 0.000
Sb1 Sb 0.000 0.500 0.000
Cl1 Cl 0.250 0.250 0.500
# DOS at the Fermi energy ... 3.299 states/eV per cell
# Formation energy (no corrections) ... -0.14 eV per atom

***

[8]
# CdSbCl2, relaxed, DFT PBE
data_CdSbCl2
_cell_length_a 3.568
_cell_length_b 5.946
_cell_length_c 9.820
_cell_angle_alpha 90.00
_cell_angle_beta 90.00
_cell_angle_gamma 90.00
_space_group_name_H-M_alt 'C m m m'
_space_group_IT_number 65
_space_group_name_Hall '-C 2 2'
loop_
_atom_site_label
_atom_site_type_symbol
_atom_site_fract_x
_atom_site_fract_y
_atom_site_fract_z
Cd1 Cd 0.000 0.000 0.000
Sb1 Sb 0.000 0.000 0.500
Cl1 Cl 0.000 0.500 0.284
# DOS at the Fermi energy ... 3.051 states/eV per cell
# Formation energy (no corrections) ... -0.31 eV per atom

***

[9]
# CdSbCl6, relaxed, DFT PBE
data_CdSbCl6
_cell_length_a 12.2708
_cell_length_b 12.2708
_cell_length_c 6.7801
_cell_angle_alpha 90.00
_cell_angle_beta 90.00
_cell_angle_gamma 120.00
_space_group_name_H-M_alt 'R -3 m'
_space_group_IT_number 166
_space_group_name_Hall '-R 3 2"'
loop_
_atom_site_label
_atom_site_type_symbol
_atom_site_fract_x
_atom_site_fract_y
_atom_site_fract_z
Cd1 Cd 0.0000 0.0000 0.0000
Sb1 Sb 0.0000 0.0000 0.5000
Cl1 Cl 0.0942 0.1885 0.7338
# DOS at the Fermi energy ... 11.948 states/eV per cell
# Formation energy (no corrections) ... -0.80 eV per atom

***

[10]
# Cd2SbCl, relaxed, DFT PBE
data_Cd2SbCl
_cell_length_a 8.357
_cell_length_b 8.027
_cell_length_c 3.470
_cell_angle_alpha 90.00
_cell_angle_beta 113.02
_cell_angle_gamma 90.00
_space_group_name_H-M_alt 'C 1 2/m 1'
_space_group_IT_number 12
loop_
_space_group_symop_operation_xyz
'x,y,z'
'-x,-y,-z'
'-x,y,-z'
'x,-y,z'
'x+1/2,y+1/2,z'
'-x+1/2,-y+1/2,-z'
'-x+1/2,y+1/2,-z'
'x+1/2,-y+1/2,z'
loop_
_atom_site_label
_atom_site_type_symbol
_atom_site_fract_x
_atom_site_fract_y
_atom_site_fract_z
Cd1 Cd 0.250 0.250 0.000
Sb1 Sb 0.000 0.000 0.000
Cl1 Cl 0.000 0.500 0.000
# DOS at the Fermi energy ... 2.236 states/eV per cell
# Formation energy (no corrections) ... -0.25 eV per atom

***

[11]
# CdSbCl, relaxed, DFT PBE
data_CdSbCl
_cell_length_a 7.136
_cell_length_b 7.136
_cell_length_c 7.136
_cell_angle_alpha 90.00
_cell_angle_beta 90.00
_cell_angle_gamma 90.00
_space_group_name_H-M_alt 'F -4 3 m'
_space_group_IT_number 216
_space_group_name_Hall 'F -4 2 3'
loop_
_atom_site_label
_atom_site_type_symbol
_atom_site_fract_x
_atom_site_fract_y
_atom_site_fract_z
Cd1 Cd 0.000 0.000 0.000
Sb1 Sb 0.250 0.250 0.750
Cl1 Cl 0.250 0.250 0.250
# DOS at the Fermi energy ... 8.506 states/eV per cell
# Formation energy (no corrections) ... 0.12 eV per atom

***

[12]
# CdSbCl, relaxed, DFT PBE
data_CdSbCl
_cell_length_a 3.451
_cell_length_b 17.103
_cell_length_c 6.079
_cell_angle_alpha 90.00
_cell_angle_beta 90.00
_cell_angle_gamma 90.00
_space_group_name_H-M_alt 'C m c 21'
_space_group_IT_number 36
loop_
_space_group_symop_operation_xyz
'x,y,z'
'-x,-y,z+1/2'
'-x,y,z'
'x,-y,z+1/2'
'x+1/2,y+1/2,z'
'-x+1/2,-y+1/2,z+1/2'
'-x+1/2,y+1/2,z'
'x+1/2,-y+1/2,z+1/2'
loop_
_atom_site_label
_atom_site_type_symbol
_atom_site_fract_x
_atom_site_fract_y
_atom_site_fract_z
Cd1 Cd 0.000 0.170 0.000
Sb1 Sb 0.000 0.010 0.985
Cl1 Cl 0.000 0.214 0.466
# DOS at the Fermi energy ... 1.797 states/eV per cell
# Formation energy (no corrections) ... -0.44 eV per atom